[1]
# Na3Zn5I12 GGA-PBE optimized geometry
data_Na3Zn5I12
_cell_length_a 15.6716
_cell_length_b 15.6716
_cell_length_c 15.6716
_cell_angle_alpha 109.47
_cell_angle_beta 109.47
_cell_angle_gamma 109.47
_space_group_name_H-M_alt 'P 1'
_space_group_IT_number 1
loop_
_space_group_symop_operation_xyz
'x,y,z'
loop_
_atom_site_label
_atom_site_fract_x
_atom_site_fract_y
_atom_site_fract_z
I1 0.9758 0.3798 0.2944
Na1 0.7500 0.3750 0.1250
I2 0.3186 0.5242 0.4040
I3 0.1202 0.7056 0.5242
Zn1 0.3750 0.1250 0.7500
Zn2 0.0000 0.5000 0.0000
I4 0.9145 0.8186 0.7944
Na2 0.8750 0.7500 0.1250
I5 0.0242 0.6202 0.7056
Na3 0.2500 0.6250 0.8750
Zn3 0.8750 0.6250 0.7500
Zn4 0.5000 0.5000 0.0000
I6 0.9758 0.5960 0.1814
I7 0.4040 0.0242 0.3186
Na4 0.8750 0.1250 0.2500
I8 0.9040 0.0855 0.8798
Na5 0.3750 0.6250 0.2500
Zn5 0.1250 0.3750 0.2500
I9 0.8798 0.5855 0.9040
I10 0.0855 0.1814 0.2056
Zn6 0.0000 0.5000 0.5000
I11 0.5960 0.9758 0.6814
I12 0.3798 0.9758 0.7944
I13 0.5855 0.8798 0.4040
I14 0.8186 0.9040 0.0242
Zn7 0.1250 0.7500 0.3750
I15 0.0855 0.9040 0.3798
Zn8 0.7500 0.6250 0.3750
Na6 0.7500 0.8750 0.6250
I16 0.6814 0.4758 0.5960
I17 0.0960 0.9145 0.1202
Zn9 0.5000 0.0000 0.0000
I18 0.1202 0.4145 0.0960
Zn10 0.2500 0.8750 0.1250
Zn11 0.8750 0.2500 0.6250
Na7 0.1250 0.8750 0.7500
I19 0.1814 0.0960 0.9758
Na8 0.3750 0.7500 0.6250
I20 0.6202 0.5960 0.9145
I21 0.3186 0.7944 0.4145
Zn12 0.5000 0.0000 0.5000
Na9 0.1250 0.2500 0.8750
Zn13 0.7500 0.1250 0.8750
Na10 0.6250 0.2500 0.3750
I22 0.4145 0.2944 0.3186
Zn14 0.6250 0.8750 0.2500
I23 0.2944 0.4145 0.8186
I24 0.6814 0.2056 0.5855
I25 0.9145 0.0960 0.6202
I26 0.1814 0.0855 0.7056
I27 0.0960 0.1814 0.4758
I28 0.7944 0.4758 0.3798
I29 0.3798 0.4040 0.0855
I30 0.2944 0.8798 0.9758
I31 0.8798 0.2944 0.4758
Zn15 0.3750 0.2500 0.1250
I32 0.4758 0.6814 0.0960
I33 0.8186 0.9145 0.2944
I34 0.4040 0.3798 0.5855
I35 0.4758 0.7944 0.8798
Zn16 0.0000 0.0000 0.0000
I36 0.5242 0.3186 0.9040
Zn17 0.6250 0.7500 0.8750
Na11 0.2500 0.1250 0.3750
I37 0.4145 0.1202 0.5960
I38 0.7056 0.5855 0.1814
I39 0.6202 0.0242 0.2056
Zn18 0.5000 0.5000 0.5000
I40 0.9040 0.8186 0.5242
I41 0.5242 0.2056 0.1202
I42 0.7056 0.1202 0.0242
I43 0.5855 0.7056 0.6814
Na12 0.6250 0.3750 0.7500
Zn19 0.2500 0.3750 0.6250
I44 0.7944 0.3186 0.9145
I45 0.2056 0.5242 0.6202
Zn20 0.0000 0.0000 0.5000
I46 0.0242 0.4040 0.8186
I47 0.5960 0.6202 0.4145
I48 0.2056 0.6814 0.0855
# SG: Ia-3d, No. 230
# Formation energy from raw total energies: -647.3 meV/atom
# Calculated total energy: -41.9 eV per formula unit



[2]
# Ac4OsSCl2 GGA-PBE optimized geometry
data_Ac4OsSCl2
_cell_length_a 4.2681
_cell_length_b 7.8217
_cell_length_c 7.9990
_cell_angle_alpha 107.64
_cell_angle_beta 90.00
_cell_angle_gamma 90.00
_space_group_name_H-M_alt 'P 1'
_space_group_IT_number 1
loop_
_space_group_symop_operation_xyz
'x,y,z'
loop_
_atom_site_label
_atom_site_fract_x
_atom_site_fract_y
_atom_site_fract_z
S1 0.0000 0.0000 0.0000
Ac1 0.5000 0.2495 0.2153
Os1 0.5000 0.5000 0.0000
Ac2 0.5000 0.7505 0.7847
Ac3 0.0000 0.7191 0.2091
Cl1 0.0000 0.5000 0.5000
Cl2 0.5000 0.0000 0.5000
Ac4 0.0000 0.2809 0.7909
# SG: P2/m, No. 10
# Formation energy from raw total energies: -1259.1 meV/atom
# Calculated total energy: -45.6 eV per formula unit



[3]
# KZrAg2 GGA-PBE optimized geometry
data_KZrAg2
_cell_length_a 3.7669
_cell_length_b 3.2544
_cell_length_c 8.9187
_cell_angle_alpha 68.72
_cell_angle_beta 90.00
_cell_angle_gamma 90.00
_space_group_name_H-M_alt 'P 1'
_space_group_IT_number 1
loop_
_space_group_symop_operation_xyz
'x,y,z'
loop_
_atom_site_label
_atom_site_fract_x
_atom_site_fract_y
_atom_site_fract_z
Zr1 0.5000 0.7500 0.7500
Ag1 0.0000 0.4389 0.5597
K1 0.5000 0.2500 0.2500
Ag2 0.0000 0.0611 0.9403
# SG: P2/m, No. 10
# Calculated formation energy: 0.122 eV/atom
# Calculated total energy: -14.9 eV per formula unit



[4]
# Cs2NdUS4 GGA-PBE optimized geometry
data_Cs2NdUS4
_cell_length_a 4.1838
_cell_length_b 7.2426
_cell_length_c 8.4571
_cell_angle_alpha 106.60
_cell_angle_beta 90.00
_cell_angle_gamma 90.00
_space_group_name_H-M_alt 'P 1'
_space_group_IT_number 1
loop_
_space_group_symop_operation_xyz
'x,y,z'
loop_
_atom_site_label
_atom_site_fract_x
_atom_site_fract_y
_atom_site_fract_z
S1 0.5000 0.7810 0.8174
S2 0.0000 0.2628 0.8136
U1 0.0000 0.0000 0.0000
S3 0.0000 0.7372 0.1864
Cs1 0.5000 0.0000 0.5000
Cs2 0.0000 0.5000 0.5000
S4 0.5000 0.2190 0.1826
Nd1 0.5000 0.5000 0.0000
# SG: P2/m, No. 10
# Formation energy from raw total energies: -1558.7 meV/atom
# Calculated total energy: -46.7 eV per formula unit



[5]
# CaTmTh GGA-PBE optimized geometry
data_CaTmTh
_cell_length_a 3.6030
_cell_length_b 3.6030
_cell_length_c 9.0004
_cell_angle_alpha 90.00
_cell_angle_beta 90.00
_cell_angle_gamma 120.00
_space_group_name_H-M_alt 'P 1'
_space_group_IT_number 1
loop_
_space_group_symop_operation_xyz
'x,y,z'
loop_
_atom_site_label
_atom_site_fract_x
_atom_site_fract_y
_atom_site_fract_z
Ca1 0.0000 0.0000 0.9994
Tm1 0.6667 0.3333 0.3474
Th1 0.3333 0.6667 0.6532
# SG: P3m1, No. 156
# Calculated formation energy: 0.105 eV/atom
# Calculated total energy: -13.6 eV per formula unit



[6]
# SrTlMo GGA-PBE optimized geometry
data_SrTlMo
_cell_length_a 3.3338
_cell_length_b 3.3338
_cell_length_c 7.8158
_cell_angle_alpha 90.00
_cell_angle_beta 90.00
_cell_angle_gamma 120.00
_space_group_name_H-M_alt 'P 1'
_space_group_IT_number 1
loop_
_space_group_symop_operation_xyz
'x,y,z'
loop_
_atom_site_label
_atom_site_fract_x
_atom_site_fract_y
_atom_site_fract_z
Mo1 0.0000 0.0000 0.9874
Tl1 0.6667 0.3333 0.6962
Sr1 0.3333 0.6667 0.3164
# SG: P3m1, No. 156
# Calculated formation energy: 0.858 eV/atom
# Calculated total energy: -12.3 eV per formula unit



[7]
# Na2La2Pt GGA-PBE optimized geometry
data_Na2La2Pt
_cell_length_a 4.3817
_cell_length_b 4.3817
_cell_length_c 8.0451
_cell_angle_alpha 74.20
_cell_angle_beta 74.20
_cell_angle_gamma 90.00
_space_group_name_H-M_alt 'P 1'
_space_group_IT_number 1
loop_
_space_group_symop_operation_xyz
'x,y,z'
loop_
_atom_site_label
_atom_site_fract_x
_atom_site_fract_y
_atom_site_fract_z
Na1 0.5770 0.5770 0.8460
La1 0.2500 0.7500 0.5000
Pt1 0.0000 0.0000 0.0000
La2 0.7500 0.2500 0.5000
Na2 0.4230 0.4230 0.1540
# SG: I4/mmm, No. 139
# Calculated formation energy: 0.574 eV/atom
# Calculated total energy: -15.7 eV per formula unit



[8]
# CePm4NdSe8 GGA-PBE optimized geometry
data_CePm4NdSe8
_cell_length_a 8.6605
_cell_length_b 8.6605
_cell_length_c 8.6848
_cell_angle_alpha 60.09
_cell_angle_beta 60.09
_cell_angle_gamma 60.00
_space_group_name_H-M_alt 'P 1'
_space_group_IT_number 1
loop_
_space_group_symop_operation_xyz
'x,y,z'
loop_
_atom_site_label
_atom_site_fract_x
_atom_site_fract_y
_atom_site_fract_z
Pm1 0.9997 0.9997 0.4997
Se1 0.2432 0.2432 0.7393
Pm2 0.6249 0.6249 0.1254
Se2 0.7573 0.7573 0.7282
Se3 0.7743 0.2432 0.7393
Se4 0.2419 0.2419 0.2744
Nd1 0.3751 0.3751 0.8746
Pm3 0.5008 0.9997 0.4997
Se5 0.7559 0.2283 0.2600
Se6 0.7559 0.7559 0.2600
Se7 0.2432 0.7743 0.7393
Ce1 0.9998 0.9998 0.0006
Se8 0.2283 0.7559 0.2600
Pm4 0.9997 0.5008 0.4997
# SG: R3m, No. 160
# Formation energy from raw total energies: -1719.2 meV/atom
# Calculated total energy: -81.6 eV per formula unit



Which value of calculated total energy does entry 6 give? -12.3 eV per formula unit